1.
A geometry-optimized DyHo3 structure, computed with GGA-PBEsol.

Unit cell a=4.875 b=4.875 c=4.875 alpha=90.00 beta=90.00 gamma=90.00
Fractional positions:
Dy (0.000, 0.000, 0.000)
Ho (0.000, 0.500, 0.500)
Ho (0.500, 0.000, 0.500)
Ho (0.500, 0.500, 0.000)

Energy above the most stable polymorph in this dataset   0.0033 eV/atom
VASP energy   -4.942 eV/atom
Energy relative to the elements   0.016 eV per atom
Fermi-level density of states   1.2168 states/eV per atom

---

2.
A geometry-optimized ScP2PdO structure, computed with GGA-PBEsol.

Unit cell a=4.668 b=4.668 c=3.818 alpha=90.00 beta=90.00 gamma=90.00
Fractional positions:
Sc (0.000, 0.000, 0.000)
P (0.000, 0.500, 0.500)
P (0.500, 0.000, 0.500)
Pd (0.500, 0.500, 0.500)
O (0.500, 0.500, 0.000)

VASP energy   -6.011 eV/atom
Energy relative to the elements, uncorrected   -132 meV per atom
Fermi-level density of states   0.7667 states/eV per atom

---

3.
A geometry-optimized Re2TcBr structure, computed with GGA-PBEsol.

Unit cell a=4.394 b=4.394 c=4.394 alpha=60.00 beta=60.00 gamma=60.00
Fractional positions:
Re (0.250, 0.250, 0.250)
Re (0.750, 0.750, 0.750)
Tc (0.000, 0.000, 0.000)
Br (0.500, 0.500, 0.500)

Energy above the most stable polymorph in this dataset   0.6533 eV/atom
VASP energy   -8.794 eV/atom
Energy relative to the elements, uncorrected   1156 meV per atom
Fermi-level density of states   1.0107 states/eV per atom

---

4.
A geometry-optimized Fe2SbSe structure, computed with GGA-PBEsol.

Unit cell a=5.502 b=5.502 c=5.502 alpha=141.28 beta=141.28 gamma=55.91
Fractional positions:
Fe (0.000, 0.000, 0.000)
Fe (0.750, 0.250, 0.500)
Sb (0.500, 0.500, 0.000)
Se (0.250, 0.750, 0.500)

Energy above the most stable polymorph in this dataset   0.4057 eV/atom
VASP energy   -6.132 eV/atom
Energy relative to the elements, uncorrected   451 meV per atom
Fermi-level density of states   1.2069 states/eV per atom

---

5.
A geometry-optimized CdCu structure, computed with GGA-PBEsol.

Unit cell a=5.039 b=4.495 c=5.454 alpha=90.00 beta=90.00 gamma=90.00
Fractional positions:
Cd (0.116, 0.250, 0.125)
Cd (0.384, 0.750, 0.625)
Cd (0.616, 0.250, 0.375)
Cd (0.884, 0.750, 0.875)
Cu (0.075, 0.250, 0.627)
Cu (0.425, 0.750, 0.127)
Cu (0.575, 0.250, 0.873)
Cu (0.925, 0.750, 0.373)

VASP energy   -2.700 eV/atom
Energy relative to the elements   0.066 eV per atom
Fermi-level density of states   0.3109 states/eV per atom

---

6.
A geometry-optimized CrCuSi2 structure, computed with GGA-PBEsol.

Unit cell a=7.908 b=7.908 c=7.908 alpha=19.82 beta=19.82 gamma=19.82
Fractional positions:
Cr (0.000, 0.000, 0.000)
Cu (0.755, 0.755, 0.755)
Si (0.255, 0.255, 0.255)
Si (0.501, 0.501, 0.501)

VASP energy   -6.321 eV/atom
Energy relative to the elements, uncorrected   196 meV per atom
Fermi-level density of states   0.6422 states/eV per atom

---

Question: What is the VASP energy in the sixth record?
Answer: -6.321 eV/atom